{"formula": "Pm3NiHg2", "functional": "GGA-PBE", "state": "optimized geometry", "crystal_system": "monoclinic", "spacegroup": "C2/c", "mass_density_g_cm3": 8.74, "ef_ev_per_atom": -0.28, "vol_a3_per_atom": 28.3, "dos_at_fermi_per_ev_atom": 1.0607, "lattice_angstrom": [[7.5276, -3.0233, 0.0000], [7.5276, 3.0233, 0.0000], [-1.9857, 0.0000, 7.4735]], "species": ["Pm", "Pm", "Pm", "Pm", "Pm", "Pm", "Ni", "Ni", "Hg", "Hg", "Hg", "Hg"], "fractional_positions": [[0.0007, 0.9993, 0.7500], [0.3675, 0.3698, 0.9356], [0.3698, 0.3675, 0.4356], [0.6302, 0.6325, 0.5644], [0.6325, 0.6302, 0.0644], [0.9993, 0.0007, 0.2500], [0.4995, 0.5005, 0.2500], [0.5005, 0.4995, 0.7500], [0.1875, 0.1900, 0.5963], [0.1900, 0.1875, 0.0963], [0.8100, 0.8125, 0.9037], [0.8125, 0.8100, 0.4037]]}